(1)
# MnPN2F meta-GGA SCAN PBEsol geometry
data_MnPN2F
_chemical_formula_sum 'Mn1 P1 N2 F1'
_symmetry_space_group_name_H-M 'P 4/m m m'
_symmetry_Int_Tables_number 123
_symmetry_space_group_name_Hall '-P 4 2'
_cell_length_a 3.505
_cell_length_b 3.505
_cell_length_c 3.811
_cell_angle_alpha 90.00
_cell_angle_beta 90.00
_cell_angle_gamma 90.00
loop_
_atom_site_label
_atom_site_fract_x
_atom_site_fract_y
_atom_site_fract_z
Mn1 0.000 0.000 0.000
P1 0.500 0.500 0.500
N1 0.000 0.500 0.500
F1 0.500 0.500 0.000
# - Size of the total moment: 5.00 μB per formula unit
# - Formation energy from raw total energies: -0.137 eV per atom
# - Density of states at the Fermi level: 0.8 states/eV per cell

=====

(2)
# MnPNF2 meta-GGA SCAN PBEsol geometry
data_MnPNF2
_chemical_formula_sum 'Mn1 P1 N1 F2'
_symmetry_space_group_name_H-M 'P 4/m m m'
_symmetry_Int_Tables_number 123
_symmetry_space_group_name_Hall '-P 4 2'
_cell_length_a 4.295
_cell_length_b 4.295
_cell_length_c 3.341
_cell_angle_alpha 90.00
_cell_angle_beta 90.00
_cell_angle_gamma 90.00
loop_
_atom_site_label
_atom_site_fract_x
_atom_site_fract_y
_atom_site_fract_z
Mn1 0.000 0.000 0.000
P1 0.500 0.500 0.500
N1 0.500 0.500 0.000
F1 0.000 0.500 0.500
# - Size of the total moment: 4.54 μB per formula unit
# - Formation energy from raw total energies: -0.508 eV per atom
# - Density of states at the Fermi level: 1.8 states/eV per cell

=====

(3)
# MnRhNF2 meta-GGA SCAN PBEsol geometry
data_MnRhNF2
_chemical_formula_sum 'Mn1 Rh1 N1 F2'
_symmetry_space_group_name_H-M 'P 4/m m m'
_symmetry_Int_Tables_number 123
_symmetry_space_group_name_Hall '-P 4 2'
_cell_length_a 4.252
_cell_length_b 4.252
_cell_length_c 3.648
_cell_angle_alpha 90.00
_cell_angle_beta 90.00
_cell_angle_gamma 90.00
loop_
_atom_site_label
_atom_site_fract_x
_atom_site_fract_y
_atom_site_fract_z
Mn1 0.000 0.000 0.000
Rh1 0.500 0.500 0.500
N1 0.500 0.500 0.000
F1 0.000 0.500 0.500
# - Size of the total moment: 5.01 μB per formula unit
# - Formation energy from raw total energies: -0.513 eV per atom
# - Density of states at the Fermi level: 2.4 states/eV per cell

=====

no.,calculated volume (Å³/atom)
1,9.36
2,12.33
3,13.19